No. 1
DFT (PBE) results for a relaxed TeRhCl2 crystal.

Unit cell a=6.846 b=3.934 c=8.086 alpha=90.00 beta=90.73 gamma=90.00
Space group Cm (No. 8)
Asymmetric unit:
Te  0.000  0.000  0.000 [2 per cell]
Rh  0.165  0.500  0.853 [2 per cell]
Cl  0.011  0.000  0.300 [2 per cell]
Cl  0.329  0.000  0.685 [2 per cell]

- E_form (uncorrected) (eV per atom) = -0.411
- distance to the lowest polymorph of the same formula (meV/atom) = 0



No. 2
DFT (PBE) results for a relaxed CaRh2W crystal.

Unit cell a=3.359 b=3.359 c=6.711 alpha=90.00 beta=90.00 gamma=90.00
Space group P4mm (No. 99)
Asymmetric unit:
Ca  0.000  0.000  0.000 [1 per cell]
Rh  0.000  0.000  0.500 [1 per cell]
Rh  0.500  0.500  0.265 [1 per cell]
W  0.500  0.500  0.642 [1 per cell]

- formation enthalpy at 0 K (meV/atom) = 243
- distance to the lowest polymorph of the same formula (meV/atom) = 393



No. 3
DFT (PBE) results for a relaxed NaLi2NbF6 crystal.

Unit cell a=8.514 b=8.514 c=8.514 alpha=90.00 beta=90.00 gamma=90.00
Space group Fm-3m (No. 225)
Asymmetric unit:
Na  0.000  0.000  0.000 [4 per cell]
Li  0.250  0.250  0.250 [8 per cell]
Nb  0.000  0.000  0.500 [4 per cell]
F  0.000  0.000  0.256 [24 per cell]

- E_form (uncorrected) (eV per atom) = -2.460



No. 4
DFT (PBE) results for a relaxed BPd2Pt2 crystal.

Unit cell a=2.776 b=5.953 c=8.681 alpha=90.00 beta=90.00 gamma=90.00
Space group Immm (No. 71)
Asymmetric unit:
B  0.000  0.000  0.000 [2 per cell]
Pd  0.000  0.500  0.240 [4 per cell]
Pt  0.000  0.232  0.500 [4 per cell]

- formation enthalpy at 0 K (meV/atom) = -109
- distance to the lowest polymorph of the same formula (meV/atom) = 4



No. 5
DFT (PBE) results for a relaxed CaTl2Ru crystal.

Unit cell a=6.349 b=6.346 c=4.475 alpha=90.00 beta=90.09 gamma=90.00
Space group C2/m (No. 12)
Asymmetric unit:
Ca  0.000  0.000  0.000 [2 per cell]
Tl  0.250  0.250  0.500 [4 per cell]
Ru  0.000  0.500  0.000 [2 per cell]

- formation enthalpy at 0 K (meV/atom) = 258



No. 6
DFT (PBE) results for a relaxed SrRe2Tc crystal.

Unit cell a=9.656 b=3.083 c=5.826 alpha=90.00 beta=104.29 gamma=90.00
Space group C2/m (No. 12)
Asymmetric unit:
Sr  0.000  0.000  0.000 [2 per cell]
Re  0.215  0.000  0.645 [4 per cell]
Tc  0.000  0.500  0.500 [2 per cell]

- formation enthalpy at 0 K (meV/atom) = 757
- distance to the lowest polymorph of the same formula (meV/atom) = 107



no.,uncorrected energy (eV/atom),theoretical density (g/cm³),spin magnetization (μB/atom)
1,-3.957,4.6,0.000
2,-7.172,9.4,0.000
3,-5.104,2.6,0.195
4,-5.938,14.2,0.000
5,-3.744,10.1,0.167
6,-8.479,11.0,0.000